PrTm2Th2 | GGA-PBE | relaxed

The structure in CIF format:
```
data_PrTm2Th2
_cell_length_a 3.5802
_cell_length_b 3.5802
_cell_length_c 43.3822
_cell_angle_alpha 90.00
_cell_angle_beta 90.00
_cell_angle_gamma 120.00
_symmetry_space_group_name_H-M 'R -3 m'
_symmetry_Int_Tables_number 166
_symmetry_space_group_name_Hall '-R 3 2"'
loop_
_atom_site_label
_atom_site_type_symbol
_atom_site_fract_x
_atom_site_fract_y
_atom_site_fract_z
_atom_site_occupancy
Pr1 Pr 0.0000 0.0000 0.0000 1
Tm1 Tm 0.0000 0.0000 0.4014 1
Th1 Th 0.0000 0.0000 0.1993 1
```

Properties
**Total moment**: 0.00 μB per formula unit
**Formation energy from the elements**: 0.018 eV per atom
**Density**: 9.75 g cm⁻³